Pm2DyTe2 | PBE | relaxed

Values from the calculation:
V in Å³/cell: 164
Total energy in eV per atom: -5.03
Uncorrected formation energy in eV/atom: -0.952
Symmetry: Immm

Cell: 4.081 6.249 7.433 Å, 114.85 105.93 90.00°
Fractional positions:
Te: 0.677 0.177 0.353
Te: 0.323 0.823 0.647
Dy: 0.000 0.000 0.000
Pm: 0.639 0.639 0.278
Pm: 0.361 0.361 0.722